{
  "formula": "NaBeVO3",
  "functional": "PBE with a Hubbard U",
  "state": "optimized geometry",
  "dos_at_fermi_per_ev_atom": 0.00,
  "e_tot_ev_per_atom": -6.69,
  "sg": "Cmcm (63)",
  "lattice": [[2.974, 0.000, 0.000], [-1.487, 5.270, 0.000], [0.000, 0.000, 8.412]],
  "species": ["Na", "O", "Be", "V", "O", "O", "O", "O", "V", "Be", "O", "Na"],
  "fractional_positions": [[0.743, 0.486, 0.750], [0.057, 0.114, 0.750], [0.528, 0.056, 0.250], [0.000, 0.000, 0.500], [0.392, 0.783, 0.913], [0.608, 0.217, 0.413], [0.608, 0.217, 0.087], [0.392, 0.783, 0.587], [0.000, 0.000, 0.000], [0.472, 0.944, 0.750], [0.943, 0.886, 0.250], [0.257, 0.514, 0.250]]
}